{"formula": "LaNiIr2F", "functional": "GGA+U", "state": "relaxed", "lattice_angstrom": [[4.5701, 0.0000, 0.0000], [0.0000, 4.5701, 0.0000], [0.0000, 0.0000, 4.1599]], "species": ["La", "Ni", "Ir", "Ir", "F"], "frac_coords": [[0.0000, 0.0000, 0.0000], [0.5000, 0.5000, 0.0000], [0.0000, 0.5000, 0.5000], [0.5000, 0.0000, 0.5000], [0.5000, 0.5000, 0.5000]], "total_energy_ev_per_atom": -5.25}